No. 1
First-principles (PBE) data for a relaxed Ba3GaOs crystal, as listed in Alexandria.

Properties
magnetic moment = 0.0 μB/f.u.
VASP energy = -17.908 eV/f.u.
calculated volume = 209.8 Å³ per cell
calculated formation energy = 2.12 eV/f.u.
energy relative to the lowest polymorph listed for this composition = 0.000 eV/atom
density = 5.32 g cm⁻³

abc: 5.9422 5.9422 5.9422
angles: 90.00 90.00 90.00
Closest atoms and distances in Å follow each position.
Space group Pm-3m (No. 221)
Symmetry-distinct sites (fractional):
Ba: 0.0000 0.0000 0.5000 [3 per cell]  2 Os 2.97
Ga: 0.5000 0.5000 0.5000 [1 per cell]  12 Ba 4.20
Os: 0.0000 0.0000 0.0000 [1 per cell]  6 Ba 2.97

---

No. 2
First-principles (PBE) data for a relaxed BaGa4Os crystal, as listed in Alexandria.

Properties
magnetic moment = 0.0 μB/f.u.
VASP energy = -26.181 eV/f.u.
calculated volume = 168.3 Å³ per cell
calculated formation energy = -0.92 eV/f.u.
density = 5.98 g cm⁻³

abc: 4.8463 4.8463 7.1655
angles: 90.00 90.00 90.00
Closest atoms and distances in Å follow each position.
Space group P4/mmm (No. 123)
Symmetry-distinct sites (fractional):
Ba: 0.0000 0.0000 0.0000 [1 per cell]  8 Ga 3.63
Ga: 0.0000 0.5000 0.5000 [2 per cell]  2 Os 2.42
Ga: 0.5000 0.5000 0.1651 [2 per cell]  1 Ga 2.37, 1 Os 2.40
Os: 0.5000 0.5000 0.5000 [1 per cell]  6 Ga 2.40-2.42

---

No. 3
First-principles (PBE) data for a relaxed BaGaOs2 crystal, as listed in Alexandria.

Properties
magnetic moment = 0.0 μB/f.u.
VASP energy = -25.418 eV/f.u.
calculated volume = 420.0 Å³ per cell
calculated formation energy = 1.99 eV/f.u.
density = 9.29 g cm⁻³

abc: 4.8836 4.8836 17.6113
angles: 90.00 90.00 90.00
Closest atoms and distances in Å follow each position.
Space group I-42d (No. 122)
Symmetry-distinct sites (fractional):
Ba: 0.0000 0.0000 0.0000 [4 per cell]  8 Os 3.43-3.58, 4 Ga 3.45
Ga: 0.0000 0.0000 0.5000 [4 per cell]  4 Os 2.52
Os: 0.0216 0.7500 0.6250 [8 per cell]  2 Os 2.45, 2 Ga 2.52

---

No. 4
First-principles (PBE) data for a relaxed BaGaTc2Os crystal, as listed in Alexandria.

Properties
magnetic moment = 0.0 μB/f.u.
VASP energy = -20.339 eV/f.u.
calculated volume = 123.6 Å³ per cell
calculated formation energy = 16.57 eV/f.u.
density = 7.97 g cm⁻³

abc: 4.8743 4.8743 5.2015
angles: 90.00 90.00 90.00
Closest atoms and distances in Å follow each position.
Space group P4/mmm (No. 123)
Symmetry-distinct sites (fractional):
Ba: 0.0000 0.0000 0.0000 [1 per cell]  4 Tc 2.44, 2 Ga 2.60
Ga: 0.0000 0.0000 0.5000 [1 per cell]  2 Ba 2.60
Tc: 0.0000 0.5000 0.0000 [2 per cell]  2 Ba 2.44
Os: 0.5000 0.5000 0.5000 [1 per cell]  4 Ga 3.45, 8 Tc 3.56

---

No. 5
First-principles (PBE) data for a relaxed Ba2TiGaOs crystal, as listed in Alexandria.

Properties
magnetic moment = 4.8 μB/f.u.
VASP energy = -19.013 eV/f.u.
calculated volume = 170.5 Å³ per cell
calculated formation energy = 6.98 eV/f.u.
density = 5.67 g cm⁻³

abc: 5.8954 5.8954 4.9070
angles: 90.00 90.00 90.00
Closest atoms and distances in Å follow each position.
Space group P4/mmm (No. 123)
Symmetry-distinct sites (fractional):
Ba: 0.0000 0.5000 0.0000 [2 per cell]  2 Ti 2.95
Ti: 0.0000 0.0000 0.0000 [1 per cell]  2 Ga 2.45
Ga: 0.0000 0.0000 0.5000 [1 per cell]  2 Ti 2.45
Os: 0.5000 0.5000 0.5000 [1 per cell]  8 Ba 3.84, 4 Ga 4.17

---

No. 6
First-principles (PBE) data for a relaxed BaTlGa2Os crystal, as listed in Alexandria.

Properties
magnetic moment = 0.0 μB/f.u.
VASP energy = -22.537 eV/f.u.
calculated volume = 128.6 Å³ per cell
calculated formation energy = -0.96 eV/f.u.
density = 8.67 g cm⁻³

abc: 4.9159 4.9159 5.3213
angles: 90.00 90.00 90.00
Closest atoms and distances in Å follow each position.
Space group P4/mmm (No. 123)
Symmetry-distinct sites (fractional):
Ba: 0.0000 0.0000 0.0000 [1 per cell]  4 Tl 3.48, 8 Ga 3.62
Tl: 0.5000 0.5000 0.0000 [1 per cell]  2 Os 2.66
Ga: 0.0000 0.5000 0.5000 [2 per cell]  2 Os 2.46
Os: 0.5000 0.5000 0.5000 [1 per cell]  4 Ga 2.46, 2 Tl 2.66